Computed, not measured: a relaxed PaIn2Ni9 crystal at the PBE level of DFT.

Unit cell a=4.8877 b=4.8877 c=8.4140 alpha=73.12 beta=73.12 gamma=60.00
Fractional coordinates of all 12 atoms:
Ni 0.4151 0.4151 0.2512
Ni 0.5849 0.0814 0.7488
Ni 0.0814 0.5849 0.7488
Ni 0.6663 0.6663 0.0011
Ni 0.9186 0.4151 0.2512
Ni 0.3337 0.3337 0.9989
Ni 0.4151 0.9186 0.2512
Ni 0.5000 0.5000 0.5000
Ni 0.5849 0.5849 0.7488
In 0.8585 0.8585 0.4245
In 0.1415 0.1415 0.5755
Pa 0.0000 0.0000 0.0000

## Properties
formation energy = -258.3 meV/atom
DOS at the Fermi energy = 14.09 states/eV/f.u.

=====

Computed, not measured: a relaxed PaInNi2 crystal at the PBE level of DFT.

Unit cell a=4.2177 b=5.0286 c=5.0286 alpha=124.42 beta=90.00 gamma=90.00
Fractional coordinates of all 4 atoms:
In 0.0000 0.9586 0.0414
Ni 0.5000 0.0877 0.4266
Ni 0.5000 0.5734 0.9123
Pa 0.5000 0.5953 0.4047

## Properties
formation energy = 236.2 meV/atom
DOS at the Fermi energy = 3.62 states/eV/f.u.

=====

Computed, not measured: a relaxed Pa2InNi crystal at the PBE level of DFT.

Unit cell a=3.1480 b=3.1480 c=8.6789 alpha=90.00 beta=90.00 gamma=90.00
Fractional coordinates of all 4 atoms:
Ni 0.5000 0.5000 0.0000
Pa 0.0000 0.0000 0.7889
Pa 0.0000 0.0000 0.2111
In 0.5000 0.5000 0.5000

## Properties
formation energy = -163.0 meV/atom
DOS at the Fermi energy = 5.96 states/eV/f.u.
offset from the most stable computed form = 0.000 eV/atom

=====

Look up the formation energy of the third one. -163.0 meV/atom